No. 1
{
  "formula": "AcPrHo2S4",
  "functional": "PBE",
  "state": "relaxed",
  "lattice_angstrom": [[-0.2588, -3.4807, 1.8686], [7.1907, -0.7896, -0.4751], [2.8651, 2.7965, 5.6061]],
  "species": ["S", "S", "S", "S", "Ac", "Ho", "Ho", "Pr"],
  "frac_coords": [[0.5000, 0.2236, 0.7553], [0.0000, 0.2202, 0.2642], [0.0000, 0.7798, 0.7358], [0.5000, 0.7764, 0.2447], [0.5000, 0.5000, 0.0000], [0.0000, 0.0000, 0.0000], [0.5000, 0.0000, 0.5000], [0.0000, 0.5000, 0.5000]],
  "final_energy_ev_per_fu": -50.4,
  "formation_energy_uncorrected_ev_per_atom": -1.987,
  "rho_kg_m3": 7309
}

---

No. 2
{
  "formula": "PmPrMoN4",
  "functional": "PBE",
  "state": "relaxed",
  "lattice_angstrom": [[3.9335, 0.0000, 0.0000], [0.0000, 3.9335, 0.0000], [-1.9667, -1.9667, 6.3839]],
  "species": ["N", "N", "N", "N", "Pr", "Pm", "Mo"],
  "frac_coords": [[0.0018, 0.5018, 0.0037], [0.5018, 0.0018, 0.0037], [0.8367, 0.8367, 0.6735], [0.1738, 0.1738, 0.3476], [0.6438, 0.6438, 0.2877], [0.3522, 0.3522, 0.7045], [0.9897, 0.9897, 0.9794]],
  "final_energy_ev_per_fu": -60.2,
  "formation_energy_uncorrected_ev_per_atom": -0.931,
  "rho_kg_m3": 7361
}

---

No. 3
{
  "formula": "Pm2YIn",
  "functional": "PBE",
  "state": "relaxed",
  "lattice_angstrom": [[-1.9636, -4.7327, -2.1418], [-1.4965, -4.1590, 3.3622], [-5.3665, -1.2992, 0.5908]],
  "species": ["Pm", "Pm", "In", "Y"],
  "frac_coords": [[0.2499, 0.2499, 0.2503], [0.7501, 0.7501, 0.7497], [0.5000, 0.5000, 0.5000], [0.0000, 0.0000, 0.0000]],
  "final_energy_ev_per_fu": -19.3,
  "relative_energy_ev_per_atom": 0.136,
  "rho_kg_m3": 6770,
  "e_form_mev_per_atom": -139.7
}

---

No. 4
{
  "formula": "SrPbSe2",
  "functional": "PBE",
  "state": "relaxed",
  "lattice_angstrom": [[5.3935, 0.0000, 0.0000], [2.6967, 4.6709, 0.0000], [2.6967, 1.5570, 4.4038]],
  "species": ["Se", "Se", "Pb", "Sr"],
  "frac_coords": [[0.0000, 0.0000, 0.0000], [0.2500, 0.2500, 0.2500], [0.5000, 0.5000, 0.5000], [0.7500, 0.7500, 0.7500]],
  "final_energy_ev_per_fu": -14.2,
  "formation_energy_uncorrected_ev_per_atom": -0.448,
  "rho_kg_m3": 6776
}

---

Number 1: DOS at the Fermi energy 3.4 states/eV per cell. Number 2: DOS at the Fermi energy 1.4 states/eV per cell. Number 3: DOS at the Fermi energy 6.3 states/eV per cell. Number 4: DOS at the Fermi energy 2.0 states/eV per cell.